1.
# Ba4Tm6O13 meta-GGA SCAN PBEsol geometry
# DFT total energy   -1263.00 eV for the cell shown
# Energy relative to the elements, uncorrected   -3.53 eV/atom
# Total magnetization   0.00 μB/cell
data_Ba4Tm6O13
_space_group_name_H-M_alt 'P 1'
_space_group_IT_number 1
_cell_length_a 12.455
_cell_length_b 12.455
_cell_length_c 12.455
_cell_angle_alpha 121.41
_cell_angle_beta 66.05
_cell_angle_gamma 152.23
loop_
_space_group_symop_operation_xyz
'x,y,z'
loop_
_atom_site_label
_atom_site_type_symbol
_atom_site_fract_x
_atom_site_fract_y
_atom_site_fract_z
Ba1 Ba 0.164 0.650 0.804
Ba2 Ba 0.167 0.119 0.286
Ba3 Ba 0.333 0.619 0.952
Ba4 Ba 0.347 0.150 0.487
Ba5 Ba 0.664 0.860 0.513
Ba6 Ba 0.667 0.381 0.048
Ba7 Ba 0.833 0.881 0.714
Ba8 Ba 0.847 0.360 0.196
Tm1 Tm 0.040 0.704 0.594
Tm2 Tm 0.064 0.911 0.946
Tm3 Tm 0.110 0.446 0.406
Tm4 Tm 0.242 0.378 0.618
Tm5 Tm 0.260 0.878 0.136
Tm6 Tm 0.465 0.411 0.846
Tm7 Tm 0.540 0.946 0.336
Tm8 Tm 0.564 0.618 0.154
Tm9 Tm 0.610 0.204 0.664
Tm10 Tm 0.742 0.124 0.864
Tm11 Tm 0.760 0.624 0.382
Tm12 Tm 0.965 0.118 0.054
O1 O 0.005 0.501 0.002
O2 O 0.026 0.765 0.270
O3 O 0.131 0.353 0.484
O4 O 0.132 0.867 0.033
O5 O 0.316 0.816 0.500
O6 O 0.319 0.435 0.017
O7 O 0.334 0.367 0.735
O8 O 0.354 0.113 0.695
O9 O 0.369 0.853 0.222
O10 O 0.418 0.302 0.983
O11 O 0.418 0.659 0.305
O12 O 0.495 0.756 0.730
O13 O 0.499 0.003 0.998
O14 O 0.505 0.503 0.504
O15 O 0.526 0.256 0.261
O16 O 0.631 0.148 0.778
O17 O 0.632 0.599 0.265
O18 O 0.816 0.316 0.500
O19 O 0.819 0.802 0.884
O20 O 0.834 0.099 0.967
O21 O 0.854 0.159 0.242
O22 O 0.869 0.648 0.516
O23 O 0.918 0.613 0.758
O24 O 0.918 0.935 0.116
O25 O 0.995 0.265 0.739
O26 O 0.999 0.001 0.496

2.
# BaTm2O4 meta-GGA SCAN PBEsol geometry
# DFT total energy   -1162.91 eV for the cell shown
# Energy relative to the elements, uncorrected   -3.67 eV/atom
# Total magnetization   0.00 μB/cell
# Energy above the lowest structure with this stoichiometry   7 meV per atom
data_BaTm2O4
_space_group_name_H-M_alt 'P 1'
_space_group_IT_number 1
_cell_length_a 5.939
_cell_length_b 5.939
_cell_length_c 21.497
_cell_angle_alpha 90.44
_cell_angle_beta 90.44
_cell_angle_gamma 61.05
loop_
_space_group_symop_operation_xyz
'x,y,z'
loop_
_atom_site_label
_atom_site_type_symbol
_atom_site_fract_x
_atom_site_fract_y
_atom_site_fract_z
Ba1 Ba 0.118 0.882 0.750
Ba2 Ba 0.220 0.453 0.357
Ba3 Ba 0.453 0.220 0.857
Ba4 Ba 0.547 0.780 0.143
Ba5 Ba 0.780 0.547 0.643
Ba6 Ba 0.882 0.118 0.250
Tm1 Tm 0.119 0.871 0.570
Tm2 Tm 0.129 0.881 0.930
Tm3 Tm 0.212 0.449 0.194
Tm4 Tm 0.212 0.457 0.053
Tm5 Tm 0.449 0.212 0.694
Tm6 Tm 0.457 0.212 0.553
Tm7 Tm 0.543 0.788 0.447
Tm8 Tm 0.551 0.788 0.306
Tm9 Tm 0.788 0.543 0.947
Tm10 Tm 0.788 0.551 0.806
Tm11 Tm 0.871 0.119 0.070
Tm12 Tm 0.881 0.129 0.430
O1 O 0.010 0.652 0.876
O2 O 0.095 0.204 0.997
O3 O 0.105 0.776 0.123
O4 O 0.113 0.328 0.749
O5 O 0.204 0.095 0.497
O6 O 0.224 0.895 0.377
O7 O 0.236 0.523 0.620
O8 O 0.328 0.113 0.249
O9 O 0.348 0.990 0.624
O10 O 0.448 0.552 0.250
O11 O 0.477 0.764 0.880
O12 O 0.500 0.500 0.000
O13 O 0.500 0.500 0.500
O14 O 0.523 0.236 0.120
O15 O 0.552 0.448 0.750
O16 O 0.652 0.010 0.376
O17 O 0.672 0.887 0.751
O18 O 0.764 0.477 0.380
O19 O 0.776 0.105 0.623
O20 O 0.796 0.905 0.503
O21 O 0.887 0.672 0.251
O22 O 0.895 0.224 0.877
O23 O 0.905 0.796 0.003
O24 O 0.990 0.348 0.124

3.
# BaTm2O4 meta-GGA SCAN PBEsol geometry
# DFT total energy   -387.06 eV for the cell shown
# Energy relative to the elements, uncorrected   -3.63 eV/atom
# Total magnetization   0.00 μB/cell
# Energy above the lowest structure with this stoichiometry   48 meV per atom
data_BaTm2O4
_space_group_name_H-M_alt 'P 1'
_space_group_IT_number 1
_cell_length_a 5.777
_cell_length_b 5.777
_cell_length_c 11.265
_cell_angle_alpha 90.00
_cell_angle_beta 90.00
_cell_angle_gamma 146.18
loop_
_space_group_symop_operation_xyz
'x,y,z'
loop_
_atom_site_label
_atom_site_type_symbol
_atom_site_fract_x
_atom_site_fract_y
_atom_site_fract_z
Ba1 Ba 0.113 0.887 0.750
Ba2 Ba 0.887 0.113 0.250
Tm1 Tm 0.366 0.634 0.570
Tm2 Tm 0.366 0.634 0.930
Tm3 Tm 0.634 0.366 0.070
Tm4 Tm 0.634 0.366 0.430
O1 O 0.000 0.000 0.000
O2 O 0.000 0.000 0.500
O3 O 0.260 0.740 0.101
O4 O 0.260 0.740 0.399
O5 O 0.434 0.566 0.750
O6 O 0.566 0.434 0.250
O7 O 0.740 0.260 0.601
O8 O 0.740 0.260 0.899

4.
# BaTm2O4 meta-GGA SCAN PBEsol geometry
# DFT total energy   -775.47 eV for the cell shown
# Energy relative to the elements, uncorrected   -3.68 eV/atom
# Total magnetization   0.00 μB/cell
# Energy above the lowest structure with this stoichiometry   0 meV per atom
data_BaTm2O4
_space_group_name_H-M_alt 'P 1'
_space_group_IT_number 1
_cell_length_a 10.259
_cell_length_b 3.385
_cell_length_c 11.889
_cell_angle_alpha 90.00
_cell_angle_beta 90.00
_cell_angle_gamma 90.00
loop_
_space_group_symop_operation_xyz
'x,y,z'
loop_
_atom_site_label
_atom_site_type_symbol
_atom_site_fract_x
_atom_site_fract_y
_atom_site_fract_z
Ba1 Ba 0.247 0.250 0.150
Ba2 Ba 0.253 0.750 0.650
Ba3 Ba 0.747 0.250 0.350
Ba4 Ba 0.753 0.750 0.850
Tm1 Tm 0.074 0.250 0.390
Tm2 Tm 0.078 0.250 0.892
Tm3 Tm 0.422 0.750 0.392
Tm4 Tm 0.426 0.750 0.890
Tm5 Tm 0.574 0.250 0.110
Tm6 Tm 0.578 0.250 0.608
Tm7 Tm 0.922 0.750 0.108
Tm8 Tm 0.926 0.750 0.610
O1 O 0.019 0.750 0.782
O2 O 0.068 0.250 0.574
O3 O 0.114 0.750 0.017
O4 O 0.210 0.750 0.344
O5 O 0.290 0.250 0.844
O6 O 0.386 0.250 0.517
O7 O 0.432 0.750 0.074
O8 O 0.481 0.250 0.282
O9 O 0.519 0.750 0.718
O10 O 0.568 0.250 0.926
O11 O 0.614 0.750 0.483
O12 O 0.710 0.750 0.156
O13 O 0.790 0.250 0.656
O14 O 0.886 0.250 0.983
O15 O 0.932 0.750 0.426
O16 O 0.981 0.250 0.218

- Which value of energy relative to the elements, uncorrected does entry 3 give?
  -3.63 eV/atom

- What is the formula in the fourth record?
  BaTm2O4